Entry 1:
InSbO2F (PBE-GGA, optimized geometry); symmetry = P4/mmm (123); uncorrected formation energy = -0.99 eV per atom
1.0
4.2628 0.0000 0.0000
0.0000 4.2628 0.0000
0.0000 0.0000 4.2437
O In Sb F
2 1 1 1
Direct
0.0000 0.5000 0.0000 O
0.5000 0.0000 0.0000 O
0.0000 0.0000 0.0000 In
0.5000 0.5000 0.5000 Sb
0.0000 0.0000 0.5000 F

Entry 2:
Mg3PCl (PBE-GGA, optimized geometry); symmetry = Pm-3m (221); uncorrected formation energy = -0.25 eV per atom
1.0
-2.8315 -2.9076 -3.0103
4.0570 -1.0141 -2.8366
1.0281 -4.0064 2.9027
Mg P Cl
3 1 1
Direct
0.5000 0.0000 0.0000 Mg
0.0000 0.5000 0.0000 Mg
0.0000 0.0000 0.5000 Mg
0.0000 0.0000 0.0000 P
0.5000 0.5000 0.5000 Cl

Entry 3:
K2ErPCO7 (PBE-GGA, optimized geometry); symmetry = P2_1/m (11); uncorrected formation energy = -2.39 eV per atom
1.0
-0.7803 -1.6832 6.8424
5.6056 -1.4030 0.2942
2.2262 9.4711 2.5837
K Er O C P
4 2 14 2 2
Direct
0.4849 0.2539 0.7841 K
0.0151 0.2539 0.7841 K
0.9849 0.7461 0.2159 K
0.5151 0.7461 0.2159 K
0.7500 0.7909 0.6248 Er
0.2500 0.2091 0.3752 Er
0.2500 0.8348 0.4248 O
0.4309 0.7923 0.6404 O
0.7500 0.9452 0.8388 O
0.0691 0.7923 0.6404 O
0.2500 0.4344 0.1916 O
0.7500 0.1652 0.5752 O
0.9309 0.2077 0.3596 O
0.7500 0.7077 0.0184 O
0.2500 0.4484 0.5476 O
0.7500 0.5656 0.8084 O
0.7500 0.5516 0.4524 O
0.5691 0.2077 0.3596 O
0.2500 0.2923 0.9816 O
0.2500 0.0548 0.1612 O
0.2500 0.2602 0.1052 C
0.7500 0.7398 0.8948 C
0.2500 0.7175 0.5650 P
0.7500 0.2825 0.4350 P

Entry 4:
Li4AsAu (PBE-GGA, optimized geometry); symmetry = Pmmm (47); energy relative to the elements = -2.9 eV/f.u.
1.0
-1.7661 -2.0571 -0.7827
3.2930 -2.5001 -0.8585
-0.1208 -2.5942 7.0915
Li As Au
4 1 1
Direct
0.4986 0.4973 0.3374 Li
0.4985 0.9973 0.1685 Li
0.4983 0.9973 0.8279 Li
0.4987 0.4973 0.6588 Li
0.9987 0.9973 0.4981 As
0.9986 0.4973 0.9981 Au

Entry 5:
Ba2V2Hg (PBE-GGA, optimized geometry); symmetry = I4/mmm (139); energy relative to the elements = 3.1 eV/f.u.
1.0
6.5649 0.0000 0.0000
0.0000 6.5649 0.0000
3.2825 3.2825 3.7544
V Hg Ba
2 1 2
Direct
0.3808 0.3808 0.2384 V
0.6192 0.6192 0.7616 V
0.0000 0.0000 0.0000 Hg
0.2500 0.7500 0.5000 Ba
0.7500 0.2500 0.5000 Ba

Entry 6:
NaSmY (PBE-GGA, optimized geometry); symmetry = C2/m (12); energy relative to the elements = 0.4 eV/f.u.
1.0
5.6362 -0.0001 0.0005
0.0001 3.4842 -0.4844
0.0000 -0.2906 10.6661
Y Na Sm
2 2 2
Direct
0.3467 0.0362 0.4943 Y
0.8468 0.9542 0.3293 Y
0.3480 0.2021 0.8269 Na
0.8462 0.7867 0.9967 Na
0.8467 0.6015 0.6248 Sm
0.3468 0.3888 0.1988 Sm

Entry 7:
V2BiSb (PBE-GGA, optimized geometry); symmetry = I-42d (122); uncorrected formation energy = 0.76 eV per atom
1.0
-3.6562 4.8224 -1.7207
-4.5072 -2.0282 3.8929
-1.6872 4.8421 5.6533
Bi V Sb
2 4 2
Direct
0.0000 0.0000 0.0000 Bi
0.7500 0.2500 0.5000 Bi
0.3750 0.3852 0.7500 V
0.1352 0.6250 0.2500 V
0.8750 0.8648 0.7500 V
0.6148 0.1250 0.2500 V
0.2500 0.7500 0.5000 Sb
0.5000 0.5000 0.0000 Sb

Entry 8:
Li3SnPd2 (PBE-GGA, optimized geometry); symmetry = C2/c (15); energy relative to the elements = -3.2 eV/f.u.
1.0
-3.1453 0.6682 -3.6327
3.5004 -3.0096 -1.4919
-4.6529 -5.4603 5.0633
Li Sn Pd
6 2 4
Direct
0.6240 0.3760 0.2500 Li
0.5449 0.7914 0.0806 Li
0.7914 0.5449 0.5806 Li
0.2086 0.4551 0.4194 Li
0.4551 0.2086 0.9194 Li
0.3760 0.6240 0.7500 Li
0.1270 0.8730 0.2500 Sn
0.8730 0.1270 0.7500 Sn
0.9541 0.7036 0.9080 Pd
0.2964 0.0459 0.5920 Pd
0.7036 0.9541 0.4080 Pd
0.0459 0.2964 0.0920 Pd

Entry 9:
Pm2HoIr (PBE-GGA, optimized geometry); symmetry = R-3m (166); energy relative to the elements = -0.2 eV/f.u.
1.0
3.7882 0.0000 0.0000
1.8941 3.2807 0.0000
1.8941 1.0936 10.6473
Pm Ho Ir
2 1 1
Direct
0.1117 0.1117 0.6649 Pm
0.8883 0.8883 0.3351 Pm
0.0000 0.0000 0.0000 Ho
0.5000 0.5000 0.5000 Ir

Entry 10:
CaBi4 (PBE-GGA, optimized geometry); symmetry = P2_1/c (14); energy relative to the elements = -0.9 eV/f.u.
1.0
-6.0073 2.7510 -3.0878
-2.5027 -0.3844 4.5266
4.0027 9.4592 0.6401
Bi Ca
8 2
Direct
0.1140 0.6475 0.4087 Bi
0.2918 0.1512 0.2416 Bi
0.7918 0.8488 0.2584 Bi
0.2082 0.1512 0.7416 Bi
0.3860 0.6475 0.9087 Bi
0.8860 0.3525 0.5913 Bi
0.6140 0.3525 0.0913 Bi
0.7082 0.8488 0.7584 Bi
0.5000 0.0000 0.5000 Ca
0.0000 0.0000 0.0000 Ca

Entry 11:
GaCu2PdS4 (PBE-GGA, optimized geometry); symmetry = I-42m (121); uncorrected formation energy = -0.33 eV per atom
1.0
-2.0298 3.0383 3.9589
-3.9320 -3.6053 0.7519
5.9800 -2.2579 1.1306
S Cu Ga Pd
4 2 1 1
Direct
0.8751 0.3857 0.2609 S
0.6145 0.6145 0.7393 S
0.3857 0.8751 0.2609 S
0.1248 0.1248 0.7393 S
0.2500 0.7500 0.5000 Cu
0.7500 0.2500 0.5000 Cu
0.5000 0.5000 0.9999 Ga
0.0002 0.0002 0.0003 Pd

Entry 12:
TmPdRuPb (PBE-GGA, optimized geometry); symmetry = F-43m (216); energy relative to the elements = -1.4 eV/f.u.
1.0
-3.3926 -1.7437 -2.8559
0.8330 -3.9271 -2.5671
-2.1867 -4.0841 1.1158
Tm Ru Pd Pb
1 1 1 1
Direct
0.5000 0.5000 0.5000 Tm
0.7500 0.7500 0.7500 Ru
0.2500 0.2500 0.2500 Pd
0.0000 0.0000 0.0000 Pb

Entry 13:
PmH2Br3 (PBE-GGA, optimized geometry); symmetry = P6_3/mmc (194); uncorrected energy = -19.282 eV/f.u.
1.0
-5.0329 6.2769 0.3030
1.2211 -3.8481 -6.9658
-5.7837 -4.7142 1.5903
Br H Pm
6 4 2
Direct
0.6855 0.8428 0.2500 Br
0.1572 0.3145 0.2500 Br
0.8428 0.1572 0.7500 Br
0.3145 0.1572 0.7500 Br
0.1572 0.8428 0.2500 Br
0.8428 0.6855 0.7500 Br
0.6667 0.3333 0.4510 H
0.3333 0.6667 0.9510 H
0.3333 0.6667 0.5490 H
0.6667 0.3333 0.0490 H
0.0000 0.0000 0.0000 Pm
0.0000 0.0000 0.5000 Pm

Entry 14:
Pu2Zn16Cu (PBE-GGA, optimized geometry); symmetry = R3m (160); energy relative to the elements = -2.6 eV/f.u.
1.0
-4.9113 2.0330 4.2535
-5.2880 -2.4022 -3.5515
-0.7284 -5.8698 3.3707
Zn Cu Pu
16 1 2
Direct
0.2925 0.7065 0.9995 Zn
0.1556 0.6489 0.6489 Zn
0.9995 0.7065 0.2925 Zn
0.5059 0.9966 0.9966 Zn
0.3532 0.3532 0.8416 Zn
0.6489 0.6489 0.1556 Zn
0.9995 0.2925 0.7065 Zn
0.9966 0.9966 0.5059 Zn
0.9966 0.5059 0.9966 Zn
0.7065 0.9995 0.2925 Zn
0.1002 0.1002 0.1002 Zn
0.8416 0.3532 0.3532 Zn
0.6489 0.1556 0.6489 Zn
0.3532 0.8416 0.3532 Zn
0.2925 0.9995 0.7065 Zn
0.7065 0.2925 0.9995 Zn
0.9006 0.9006 0.9006 Cu
0.6636 0.6636 0.6636 Pu
0.3382 0.3382 0.3382 Pu

Entry 15:
Sm3Si3Os (PBE-GGA, optimized geometry); symmetry = C2/m (12); uncorrected formation energy = -0.74 eV per atom
1.0
-4.1195 1.1921 0.0117
-3.4990 -4.3600 -1.7680
-3.2876 -3.7649 12.0520
Si Sm Os
6 6 2
Direct
0.1086 0.8568 0.9260 Si
0.9416 0.8764 0.2404 Si
0.8914 0.1432 0.0740 Si
0.8577 0.7418 0.5427 Si
0.1423 0.2582 0.4573 Si
0.0584 0.1236 0.7596 Si
0.7465 0.7358 0.7712 Sm
0.5173 0.3394 0.6259 Sm
0.2535 0.2642 0.2288 Sm
0.3983 0.2835 0.9199 Sm
0.4827 0.6606 0.3741 Sm
0.6017 0.7165 0.0801 Sm
0.7540 0.0774 0.4145 Os
0.2460 0.9226 0.5855 Os

Entry 16:
InAgW2 (PBE-GGA, optimized geometry); symmetry = Cmmm (65); energy relative to the elements = 2.6 eV/f.u.
1.0
5.3374 -0.0012 0.0000
-2.5212 4.7043 0.0000
0.0000 0.0000 2.7862
W Ag In
2 1 1
Direct
0.5000 0.5000 0.0000 W
0.0000 0.0000 0.0000 W
0.5000 0.0000 0.5000 Ag
0.0000 0.5000 0.5000 In

Entry 17:
VCd3Cu (PBE-GGA, optimized geometry); symmetry = Pm-3m (221); energy relative to the elements = 3.4 eV/f.u.
1.0
-3.7413 1.5895 2.7144
-2.0878 -4.4097 -0.2954
2.3528 -1.3855 4.0542
Cd V Cu
3 1 1
Direct
0.0000 0.5000 0.0000 Cd
0.5000 0.0000 0.0000 Cd
0.0000 0.0000 0.5000 Cd
0.5000 0.5000 0.5000 V
0.0000 0.0000 0.0000 Cu

Entry 18:
AcTbY2 (PBE-GGA, optimized geometry); symmetry = P4/mmm (123); energy relative to the elements = 0.4 eV/f.u.
1.0
4.1906 0.0000 0.0000
0.0000 4.1906 0.0000
0.0000 0.0000 8.0757
Y Ac Tb
2 1 1
Direct
0.0000 0.0000 0.2286 Y
0.0000 0.0000 0.7714 Y
0.5000 0.5000 0.5000 Ac
0.5000 0.5000 0.0000 Tb

Entry 19:
BaMgCl (PBE-GGA, optimized geometry); symmetry = Amm2 (38); uncorrected formation energy = -0.84 eV per atom
1.0
-3.4543 1.9315 -2.2688
0.0309 -4.5024 0.7063
-7.8362 2.0981 13.7171
Ba Mg Cl
2 2 2
Direct
0.6163 0.2326 0.6778 Ba
0.6163 0.2326 0.3222 Ba
0.2799 0.5598 0.5000 Mg
0.5881 0.1763 0.0000 Mg
0.2830 0.5660 0.2227 Cl
0.2830 0.5660 0.7773 Cl

Entry 20:
SnPO3 (PBE-GGA, optimized geometry); symmetry = Pm-3m (221); uncorrected formation energy = -0.30 eV per atom
1.0
-0.0957 -2.9729 2.6683
3.8464 0.6520 0.8643
-1.0784 2.5892 2.8461
O P Sn
3 1 1
Direct
0.0000 0.0000 0.5000 O
0.0000 0.5000 0.0000 O
0.5000 0.0000 0.0000 O
0.5000 0.5000 0.5000 P
0.0000 0.0000 0.0000 Sn